(1)
Density functional theory data (GGA-PBE) for PuSn2Pd7 after structural relaxation.

Its energy is -6.020 eV per atom.

It has space group Cmmm (No. 65), with a = 7.400 Å, b = 13.476 Å, c = 4.448 Å, α = 90.00°, β = 90.00° and γ = 90.00°. Symmetry generates all atoms from Pu at (0.000, 0.000, 0.000), Sn at (0.000, 0.303, 0.500), Pd at (0.000, 0.202, 0.000), Pd at (0.000, 0.500, 0.500) and Pd at (0.182, 0.108, 0.500).

(2)
Density functional theory data (GGA-PBE) for BaCa3C after structural relaxation.

The calculation puts the energy relative to the lowest polymorph listed for this composition at 2015 meV/atom.

It has space group Pm-3m (No. 221), with a = 5.824 Å, b = 5.824 Å, c = 5.824 Å, α = 90.00°, β = 90.00° and γ = 90.00°. Symmetry generates all atoms from Ba at (0.000, 0.000, 0.000), Ca at (0.000, 0.000, 0.500) and C at (0.500, 0.500, 0.500).

(3)
Density functional theory data (GGA-PBE) for SmBe2Au6 after structural relaxation.

Its energy is -3.724 eV per atom.

It has space group Fd-3m (No. 227, origin choice 2), with a = 11.301 Å, b = 11.301 Å, c = 11.301 Å, α = 90.00°, β = 90.00° and γ = 90.00°. Symmetry generates all atoms from Sm at (0.125, 0.125, 0.125), Be at (0.000, 0.000, 0.500) and Au at (0.103, 0.375, 0.875).

(4)
Density functional theory data (GGA-PBE) for Ho4Tl5Pt2 after structural relaxation.

Its energy is -4.456 eV per atom.

It has space group P2/m (No. 10), with a = 7.976 Å, b = 3.628 Å, c = 9.736 Å, α = 90.00°, β = 93.82° and γ = 90.00°. Symmetry generates all atoms from Ho at (0.192, 0.000, 0.345), Ho at (0.208, 0.000, 0.930), Tl at (0.150, 0.500, 0.634), Tl at (0.463, 0.500, 0.166), Tl at (0.500, 0.500, 0.500) and Pt at (0.081, 0.500, 0.135).

(5)
Density functional theory data (GGA-PBE) for LiPuTlRh after structural relaxation.

Its energy is -6.672 eV per atom.

It has space group F-43m (No. 216), with a = 6.819 Å, b = 6.819 Å, c = 6.819 Å, α = 90.00°, β = 90.00° and γ = 90.00°. Symmetry generates all atoms from Li at (0.000, 0.000, 0.000), Pu at (0.250, 0.250, 0.750), Tl at (0.250, 0.250, 0.250) and Rh at (0.000, 0.000, 0.500).

(6)
Density functional theory data (GGA-PBE) for CaYOs3 after structural relaxation.

The calculation puts the energy relative to the lowest polymorph listed for this composition at 0 meV/atom.

It has space group Pm-3m (No. 221), with a = 4.714 Å, b = 4.714 Å, c = 4.714 Å, α = 90.00°, β = 90.00° and γ = 90.00°. Symmetry generates all atoms from Ca at (0.000, 0.000, 0.000), Y at (0.500, 0.500, 0.500) and Os at (0.000, 0.000, 0.500).

(7)
Density functional theory data (GGA-PBE) for CsRbCdHg2 after structural relaxation.

The calculation puts the energy relative to the lowest polymorph listed for this composition at 67 meV/atom.

It has space group P4/mmm (No. 123), with a = 5.988 Å, b = 5.988 Å, c = 6.527 Å, α = 90.00°, β = 90.00° and γ = 90.00°. Symmetry generates all atoms from Cs at (0.000, 0.000, 0.000), Rb at (0.500, 0.500, 0.000), Cd at (0.500, 0.500, 0.500) and Hg at (0.000, 0.500, 0.500).

(8)
Density functional theory data (GGA-PBE) for Ac5TbHg4 after structural relaxation.

Its energy is -2.998 eV per atom.

It has space group P4/mmm (No. 123), with a = 4.017 Å, b = 4.017 Å, c = 21.332 Å, α = 90.00°, β = 90.00° and γ = 90.00°. Symmetry generates all atoms from Ac at (0.000, 0.000, 0.000), Ac at (0.000, 0.000, 0.191), Ac at (0.000, 0.000, 0.383), Tb at (0.500, 0.500, 0.500), Hg at (0.500, 0.500, 0.095) and Hg at (0.500, 0.500, 0.289).

(9)
Density functional theory data (GGA-PBE) for Li4Tl2In5 after structural relaxation.

Its energy is -2.528 eV per atom.

It has space group C2/m (No. 12), with a = 10.658 Å, b = 4.424 Å, c = 11.084 Å, α = 90.00°, β = 105.18° and γ = 90.00°. Symmetry generates all atoms from Li at (0.031, 0.000, 0.326), Li at (0.193, 0.500, 0.770), Tl at (0.078, 0.500, 0.155), In at (0.000, 0.500, 0.500), In at (0.146, 0.000, 0.947) and In at (0.219, 0.000, 0.587).

(10)
Density functional theory data (GGA-PBE) for Li2CF after structural relaxation.

The value obtained for the uncorrected formation energy is -1.22 eV per formula unit. The calculation puts the energy relative to the lowest polymorph listed for this composition at 0 meV/atom.

It has space group I-42d (No. 122), with a = 5.170 Å, b = 5.170 Å, c = 6.457 Å, α = 90.00°, β = 90.00° and γ = 90.00°. Symmetry generates all atoms from Li at (0.191, 0.250, 0.125), C at (0.000, 0.000, 0.500) and F at (0.000, 0.000, 0.000).

(11)
Density functional theory data (GGA-PBE) for YTaTl2 after structural relaxation.

Its energy is -5.517 eV per atom.

It has space group I4/mmm (No. 139), with a = 4.620 Å, b = 4.620 Å, c = 8.729 Å, α = 90.00°, β = 90.00° and γ = 90.00°. Symmetry generates all atoms from Y at (0.000, 0.000, 0.000), Ta at (0.000, 0.000, 0.500) and Tl at (0.000, 0.500, 0.250).

(12)
Density functional theory data (GGA-PBE) for Be9Nb2Ru after structural relaxation.

The calculation puts the energy relative to the lowest polymorph listed for this composition at 2 meV/atom.

It has space group P6_3/mmc (No. 194), with a = 4.4787 Å, b = 4.4787 Å, c = 14.0182 Å, α = 90.00°, β = 90.00° and γ = 120.00°. Symmetry generates all atoms from Be at (0.0000, 0.0000, 0.0000), Be at (0.0000, 0.0000, 0.2500), Be at (0.1665, 0.3330, 0.1288), Be at (0.3333, 0.6667, 0.2500), Nb at (0.3333, 0.6667, 0.5356) and Ru at (0.3333, 0.6667, 0.7500).